1.
Density functional theory data (PBE) for a geometry-optimized EuHfSc2 structure.

Lattice parameters (Å, degrees): 3.2943 3.2943 9.8639 90.00 90.00 90.00
Last column: nearest neighbours and their distance in Å.
Element x y z (fractional)
1 Eu 0.5000 0.5000 0.5000  4 Eu 3.29, 8 Sc 3.66
2 Sc 0.0000 0.0000 0.7864  4 Hf 3.14, 4 Sc 3.29
3 Sc 0.0000 0.0000 0.2136  4 Hf 3.14, 4 Sc 3.29
4 Hf 0.5000 0.5000 0.0000  8 Sc 3.14, 4 Hf 3.29

Values from the calculation:
- N(E_F): 5.91 states/eV/f.u.
- Formation energy from the elements: 0.12 eV per atom

=====

2.
Density functional theory data (PBE) for a geometry-optimized EuHfSc2 structure.

Lattice parameters (Å, degrees): 3.2028 3.2028 11.9419 82.29 82.29 60.00
Last column: nearest neighbours and their distance in Å.
Element x y z (fractional)
1 Eu 0.5000 0.5000 0.5000  6 Eu 3.20, 6 Sc 3.47
2 Sc 0.0838 0.0838 0.7485  1 Hf 2.97, 6 Sc 3.20
3 Sc 0.9162 0.9162 0.2515  1 Hf 2.97, 6 Sc 3.20
4 Hf 0.0000 0.0000 0.0000  2 Sc 2.97, 6 Hf 3.20

Values from the calculation:
- N(E_F): 6.33 states/eV/f.u.
- Formation energy from the elements: 0.43 eV per atom

=====

3.
Density functional theory data (PBE) for a geometry-optimized EuHfSn2 structure.

Lattice parameters (Å, degrees): 3.8511 3.8511 6.9879 90.00 90.00 90.00
Last column: nearest neighbours and their distance in Å.
Element x y z (fractional)
1 Eu 0.5000 0.5000 0.5000  8 Sn 3.39, 2 Hf 3.49
2 Hf 0.5000 0.5000 0.0000  8 Sn 3.10
3 Sn 0.0000 0.0000 0.7879  1 Sn 2.96, 4 Hf 3.10
4 Sn 0.0000 0.0000 0.2121  1 Sn 2.96, 4 Hf 3.10

Values from the calculation:
- N(E_F): 2.82 states/eV/f.u.
- Formation energy from the elements: -0.37 eV per atom